VASP calculation (GGA+U) on Ni3B2O6 after structural relaxation.

Values from the calculation:
DFT total energy	-69.7	eV/f.u.

abc: 4.5006 5.4447 8.3916
angles: 90.00 90.00 90.00
Last column: magnetic moment on the atom in μB.
Element x y z (fractional)
Ni: 0.5000 0.0000 0.3160  1.79
Ni: 0.0000 0.0000 0.0000  1.75
O: 0.2993 0.7985 0.8601  0.10
O: 0.2527 0.8244 0.5000  0.09
O: 0.7993 0.7015 0.3601  0.10
Ni: 0.5000 0.0000 0.6840  1.79
O: 0.7527 0.6756 0.0000  0.09
O: 0.2473 0.3244 0.0000  0.09
Ni: 0.0000 0.5000 0.1840  1.79
O: 0.7473 0.1756 0.5000  0.09
Ni: 0.0000 0.5000 0.8161  1.79
O: 0.2007 0.2985 0.6399  0.10
B: 0.5425 0.2541 0.0000  0.01
B: 0.0425 0.2459 0.5000  0.01
B: 0.4575 0.7459 0.0000  0.01
Ni: 0.5000 0.5000 0.5000  1.75
O: 0.7007 0.2015 0.8601  0.10
O: 0.7007 0.2015 0.1399  0.10
B: 0.9575 0.7541 0.5000  0.01
O: 0.7993 0.7015 0.6399  0.10
O: 0.2993 0.7985 0.1399  0.10
O: 0.2007 0.2985 0.3601  0.10